## SrErAlHg (GGA-PBE)

Data for a relaxed structure of SrErAlHg.

Lattice parameters (Å, degrees): 5.384 5.384 5.384 60.00 60.00 60.00
Positions (direct):
Sr 0.250 0.250 0.250
Al 0.500 0.500 0.500
Er 0.750 0.750 0.750
Hg 0.000 0.000 0.000

## Properties
- Final energy: -2.86 eV/atom
- Mass density: 7.26 g/cm³
- Space group: No. 216